# 1
Here is a crystal of CuTeSeBr relaxed with PBEsol from Alexandria. Energies are from SCAN.

Lattice parameters (Å, degrees): 8.1055 4.7512 12.0489 90.00 116.31 90.00
Space group P2_1/c (No. 14)
Unique sites:
Cu (0.1913, 0.1253, 0.2514) (multiplicity 4)
Te (0.2786, 0.0045, 0.6397) (multiplicity 4)
Se (0.4221, 0.7166, 0.8492) (multiplicity 4)
Br (0.0863, 0.1436, 0.8875) (multiplicity 4)

Properties
Energy: -23.25 eV per atom
Energy relative to the elements, uncorrected: -0.249 eV/atom
M_tot: 0.00 Bohr magnetons per cell

# 2
Here is a crystal of ZrTe2Se relaxed with PBEsol from Alexandria. Energies are from SCAN.

Lattice parameters (Å, degrees): 3.4626 3.4626 29.7367 90.00 90.00 120.00
Space group R-3m (No. 166, hexagonal axes)
Unique sites:
Zr (0.0000, 0.0000, 0.0000) (multiplicity 3)
Te (0.0000, 0.0000, 0.0944) (multiplicity 6)
Se (0.0000, 0.0000, 0.5000) (multiplicity 3)

Properties
Energy: -30.92 eV per atom
Energy relative to the elements, uncorrected: 0.396 eV/atom
M_tot: 0.00 Bohr magnetons per cell

# 3
Here is a crystal of CaHgSb relaxed with PBEsol from Alexandria. Energies are from SCAN.

Lattice parameters (Å, degrees): 6.9971 6.9971 6.9971 90.00 90.00 90.00
Space group F-43m (No. 216)
Unique sites:
Ca (0.0000, 0.0000, 0.0000) (multiplicity 4)
Hg (0.2500, 0.2500, 0.2500) (multiplicity 4)
Sb (0.0000, 0.0000, 0.5000) (multiplicity 4)

Properties
Energy: -38.94 eV per atom
Energy relative to the elements, uncorrected: -0.580 eV/atom
M_tot: 0.00 Bohr magnetons per cell
Excess energy over the best structure of this formula in the dataset: 0.24 eV per formula unit

# 4
Here is a crystal of KRe2Pb relaxed with PBEsol from Alexandria. Energies are from SCAN.

Lattice parameters (Å, degrees): 2.8225 4.8925 6.8680 90.00 90.00 90.00
Space group Pmmm (No. 47)
Unique sites:
K (0.0000, 0.0000, 0.0000) (multiplicity 1)
Re (0.5000, 0.5000, 0.3349) (multiplicity 2)
Pb (0.0000, 0.0000, 0.5000) (multiplicity 1)

Properties
Energy: -55.24 eV per atom
M_tot: 0.00 Bohr magnetons per cell

# 5
Here is a crystal of K2TeSe relaxed with PBEsol from Alexandria. Energies are from SCAN.

Lattice parameters (Å, degrees): 12.5088 3.8009 5.6225 90.00 111.16 90.00
Space group Cm (No. 8)
Unique sites:
K (0.0000, 0.0000, 0.0000) (multiplicity 2)
K (0.2034, 0.0000, 0.6191) (multiplicity 2)
Te (0.4353, 0.0000, 0.4453) (multiplicity 2)
Se (0.2434, 0.5000, 0.1286) (multiplicity 2)

Properties
Energy: -19.26 eV per atom
Energy relative to the elements, uncorrected: -0.762 eV/atom
M_tot: 0.00 Bohr magnetons per cell
Excess energy over the best structure of this formula in the dataset: 0.00 eV per formula unit

# 6
Here is a crystal of HfTaRh2 relaxed with PBEsol from Alexandria. Energies are from SCAN.

Lattice parameters (Å, degrees): 6.3769 6.3769 6.3769 90.00 90.00 90.00
Space group Fm-3m (No. 225)
Unique sites:
Hf (0.0000, 0.0000, 0.0000) (multiplicity 4)
Ta (0.0000, 0.0000, 0.5000) (multiplicity 4)
Rh (0.2500, 0.2500, 0.2500) (multiplicity 8)

Properties
Energy: -49.81 eV per atom
M_tot: 0.00 Bohr magnetons per cell

# 7
Here is a crystal of ReSbIr2 relaxed with PBEsol from Alexandria. Energies are from SCAN.

Lattice parameters (Å, degrees): 2.8621 2.8621 26.8339 90.00 90.00 120.00
Space group R-3m (No. 166, hexagonal axes)
Unique sites:
Re (0.0000, 0.0000, 0.0000) (multiplicity 3)
Sb (0.0000, 0.0000, 0.5000) (multiplicity 3)
Ir (0.0000, 0.0000, 0.2539) (multiplicity 6)

Properties
Energy: -62.28 eV per atom
Energy relative to the elements, uncorrected: 0.364 eV/atom
M_tot: 0.00 Bohr magnetons per cell

# 8
Here is a crystal of ScTc2Hg relaxed with PBEsol from Alexandria. Energies are from SCAN.

Lattice parameters (Å, degrees): 4.1805 4.1805 7.4498 90.00 90.00 90.00
Space group I-4m2 (No. 119)
Unique sites:
Sc (0.0000, 0.0000, 0.0000) (multiplicity 2)
Tc (0.0000, 0.0000, 0.5000) (multiplicity 2)
Tc (0.0000, 0.5000, 0.2500) (multiplicity 2)
Hg (0.0000, 0.5000, 0.7500) (multiplicity 2)

Properties
Energy: -38.09 eV per atom
M_tot: 0.00 Bohr magnetons per cell

# 9
Here is a crystal of Ca7VN6 relaxed with PBEsol from Alexandria. Energies are from SCAN.

Lattice parameters (Å, degrees): 10.9341 6.2353 12.8090 90.00 90.00 90.00
Space group Pbcn (No. 60)
Unique sites:
Ca (0.0000, 0.0538, 0.2500) (multiplicity 4)
Ca (0.0357, 0.2304, 0.5221) (multiplicity 8)
Ca (0.2100, 0.3909, 0.1196) (multiplicity 8)
Ca (0.2332, 0.3411, 0.8723) (multiplicity 8)
V (0.0000, 0.4438, 0.7500) (multiplicity 4)
N (0.0589, 0.3882, 0.3547) (multiplicity 8)
N (0.1242, 0.2712, 0.7035) (multiplicity 8)
N (0.1642, 0.0870, 0.9960) (multiplicity 8)

Properties
Energy: -11.21 eV per atom
Energy relative to the elements, uncorrected: -1.142 eV/atom
M_tot: 3.77 Bohr magnetons per cell

# 10
Here is a crystal of KZrMn2Re relaxed with PBEsol from Alexandria. Energies are from SCAN.

Lattice parameters (Å, degrees): 5.0683 5.0683 4.8250 90.00 90.00 90.00
Space group P4/mmm (No. 123)
Unique sites:
K (0.0000, 0.0000, 0.0000) (multiplicity 1)
Zr (0.5000, 0.5000, 0.5000) (multiplicity 1)
Mn (0.0000, 0.5000, 0.5000) (multiplicity 2)
Re (0.5000, 0.5000, 0.0000) (multiplicity 1)

Properties
Energy: -27.95 eV per atom
M_tot: 8.10 Bohr magnetons per cell